## BeNi2Cl (PBE)

Data for a geometry-optimized BeNi2Cl structure.

Cell: 4.6256 4.6256 2.8859 Å, 107.19 107.19 112.61°
With the nearest neighbours (Å) after each atom.
Element x y z (fractional)
Be  0.0000  0.0000  0.0000  4 Ni 2.31, 2 Cl 2.57
Ni  0.0000  0.5000  0.0000  2 Cl 2.31, 2 Be 2.31, 2 Ni 2.57
Ni  0.5000  0.0000  0.0000  2 Cl 2.31, 2 Be 2.31, 2 Ni 2.57
Cl  0.5000  0.5000  0.0000  4 Ni 2.31, 2 Be 2.57

distance to the lowest polymorph of the same formula: 0.404 eV/atom
energy relative to the elements, uncorrected: 1.50 eV per formula unit
SG: No. 12
M_tot: 0.00 μB per formula unit

## K2IF (PBE)

Data for a geometry-optimized K2IF structure.

Cell: 7.9241 7.9241 7.9241 Å, 32.13 32.13 32.13°
With the nearest neighbours (Å) after each atom.
Element x y z (fractional)
K  0.2296  0.2296  0.2296  3 F 2.90
K  0.7704  0.7704  0.7704  3 F 2.90
I  0.0000  0.0000  0.0000  6 K 3.45
F  0.5000  0.5000  0.5000  6 K 2.90

distance to the lowest polymorph of the same formula: 0.102 eV/atom
energy relative to the elements, uncorrected: -7.98 eV per formula unit
SG: No. 166
M_tot: 0.00 μB per formula unit

## NaCeSm4Se8 (PBE)

Data for a geometry-optimized NaCeSm4Se8 structure.

Cell: 8.6808 8.6808 8.6808 Å, 59.55 59.55 59.55°
With the nearest neighbours (Å) after each atom.
Element x y z (fractional)
Na  0.0000  0.0000  0.0000  4 Se 2.85-2.87
Ce  0.6289  0.6289  0.6289  6 Se 2.92-3.04
Sm  0.1116  0.6301  0.6301  6 Se 2.88-3.02
Sm  0.2513  0.2513  0.2513  4 Se 2.81-2.83
Sm  0.6301  0.1116  0.6301  6 Se 2.88-3.02
Sm  0.6301  0.6301  0.1116  6 Se 2.88-3.02
Se  0.3809  0.3809  0.8524  3 Sm 2.81-3.01, 1 Ce 3.04
Se  0.3809  0.8524  0.3809  3 Sm 2.81-3.01, 1 Ce 3.04
Se  0.3838  0.3838  0.3838  4 Sm 2.83-3.02
Se  0.4048  0.8670  0.8669  1 Na 2.85, 2 Sm 2.88, 1 Ce 2.92
Se  0.8524  0.3809  0.3809  3 Sm 2.81-3.01, 1 Ce 3.04
Se  0.8657  0.8657  0.8657  1 Na 2.87, 3 Sm 2.88
Se  0.8669  0.4048  0.8669  1 Na 2.85, 2 Sm 2.88, 1 Ce 2.92
Se  0.8669  0.8669  0.4048  1 Na 2.85, 2 Sm 2.88, 1 Ce 2.92

energy relative to the elements, uncorrected: -24.36 eV per formula unit
SG: No. 160
M_tot: 1.00 μB per formula unit

## Cu2Se (PBE)

Data for a geometry-optimized Cu2Se structure.

Cell: 4.2478 4.2478 13.6836 Å, 101.80 101.80 60.16°
With the nearest neighbours (Å) after each atom.
Element x y z (fractional)
Cu  0.0000  0.0000  0.0000  3 Se 2.42-2.48, 3 Cu 2.55-2.66
Cu  0.0001  0.0001  0.4105  2 Se 2.40-2.52, 3 Cu 2.54-2.55
Cu  0.2698  0.2698  0.1566  2 Se 2.38-2.56, 3 Cu 2.55-2.57
Cu  0.4285  0.4285  0.8805  4 Se 2.49-2.74, 3 Cu 2.53-2.66
Cu  0.4620  0.4620  0.7006  5 Cu 2.47-2.64, 3 Se 2.51-2.74
Cu  0.4864  0.4864  0.5112  3 Se 2.44-2.45, 4 Cu 2.55-2.71
Cu  0.7310  0.7310  0.2551  3 Se 2.41-2.44, 3 Cu 2.54-2.57
Cu  0.7885  0.7885  0.6692  4 Se 2.45-2.72, 4 Cu 2.47-2.71
Se  0.0663  0.0663  0.5996  6 Cu 2.45-2.72
Se  0.2748  0.2748  0.3439  5 Cu 2.40-2.56
Se  0.5373  0.5373  0.0866  4 Cu 2.38-2.42
Se  0.7496  0.7496  0.8422  6 Cu 2.45-2.54

energy relative to the elements, uncorrected: -0.01 eV per formula unit
SG: No. 8
M_tot: 0.00 μB per formula unit

What is the formula in the first record?
BeNi2Cl

Which of these has the highest M_tot?
NaCeSm4Se8